Entry 1:
! Sc2Ni2Rh (GGA-PBE, relaxed); values from VASP
! calculated total energy	-34.3	eV per formula unit
! SG	P4/mbm (127)
&SYSTEM
  ibrav = 0, nat = 10, ntyp = 3
/
ATOMIC_SPECIES
Sc 44.96 Sc.upf
Ni 58.69 Ni.upf
Rh 102.91 Rh.upf
CELL_PARAMETERS angstrom
6.628 0.000 0.000
0.000 6.628 0.000
0.000 0.000 3.584
ATOMIC_POSITIONS crystal
Sc 0.183 0.683 0.500
Sc 0.683 0.817 0.500
Sc 0.817 0.317 0.500
Sc 0.317 0.183 0.500
Ni 0.377 0.877 0.000
Ni 0.877 0.623 0.000
Ni 0.623 0.123 0.000
Ni 0.123 0.377 0.000
Rh 0.000 0.000 0.000
Rh 0.500 0.500 0.000

***

Entry 2:
! ScNi2Rh (GGA-PBE, relaxed); values from VASP
! calculated total energy	-25.0	eV per formula unit
! SG	R3m (160)
&SYSTEM
  ibrav = 0, nat = 4, ntyp = 3
/
ATOMIC_SPECIES
Ni 58.69 Ni.upf
Rh 102.91 Rh.upf
Sc 44.96 Sc.upf
CELL_PARAMETERS angstrom
-1.122 8.094 1.471
-1.736 7.034 4.055
0.983 7.543 3.328
ATOMIC_POSITIONS crystal
Ni 0.996 0.996 0.996
Ni 0.253 0.253 0.253
Rh 0.502 0.502 0.502
Sc 0.748 0.748 0.748

***

Entry 3:
! Sc3NiRh (GGA-PBE, relaxed); values from VASP
! calculated total energy	-35.1	eV per formula unit
! SG	P2_1/m (11)
&SYSTEM
  ibrav = 0, nat = 10, ntyp = 3
/
ATOMIC_SPECIES
Sc 44.96 Sc.upf
Ni 58.69 Ni.upf
Rh 102.91 Rh.upf
CELL_PARAMETERS angstrom
4.095 0.000 0.000
0.000 6.304 -1.844
0.000 -0.492 7.415
ATOMIC_POSITIONS crystal
Sc 0.750 0.639 0.403
Sc 0.250 0.361 0.597
Sc 0.750 0.311 0.930
Sc 0.250 0.921 0.766
Sc 0.250 0.689 0.070
Sc 0.750 0.079 0.234
Ni 0.250 0.937 0.414
Ni 0.750 0.063 0.586
Rh 0.250 0.341 0.189
Rh 0.750 0.659 0.811

***

Entry 4:
! Sc3NiRh (GGA-PBE, relaxed); values from VASP
! calculated total energy	-32.3	eV per formula unit
! SG	Pm-3m (221)
&SYSTEM
  ibrav = 0, nat = 5, ntyp = 3
/
ATOMIC_SPECIES
Sc 44.96 Sc.upf
Ni 58.69 Ni.upf
Rh 102.91 Rh.upf
CELL_PARAMETERS angstrom
4.729 0.000 0.000
0.000 4.729 0.000
0.000 0.000 4.729
ATOMIC_POSITIONS crystal
Sc 0.000 0.500 0.000
Sc 0.000 0.000 0.500
Sc 0.500 0.000 0.000
Ni 0.000 0.000 0.000
Rh 0.500 0.500 0.500

***

Entry 5:
! ScNiRh3 (GGA-PBE, relaxed); values from VASP
! calculated total energy	-32.0	eV per formula unit
! SG	Pm-3m (221)
&SYSTEM
  ibrav = 0, nat = 5, ntyp = 3
/
ATOMIC_SPECIES
Sc 44.96 Sc.upf
Ni 58.69 Ni.upf
Rh 102.91 Rh.upf
CELL_PARAMETERS angstrom
4.477 0.000 0.000
0.000 4.477 0.000
0.000 0.000 4.477
ATOMIC_POSITIONS crystal
Sc 0.500 0.500 0.500
Ni 0.000 0.000 0.000
Rh 0.000 0.500 0.000
Rh 0.000 0.000 0.500
Rh 0.500 0.000 0.000

***

Entry 6:
! ScNiRh2 (GGA-PBE, relaxed); values from VASP
! calculated total energy	-28.1	eV per formula unit
! SG	C2/m (12)
&SYSTEM
  ibrav = 0, nat = 4, ntyp = 3
/
ATOMIC_SPECIES
Ni 58.69 Ni.upf
Rh 102.91 Rh.upf
Sc 44.96 Sc.upf
CELL_PARAMETERS angstrom
-4.965 -0.052 1.342
2.771 -3.421 1.905
-0.017 1.138 2.577
ATOMIC_POSITIONS crystal
Ni 0.500 0.000 0.500
Rh 0.000 0.000 0.000
Rh 0.000 0.500 0.500
Sc 0.500 0.500 0.000

***

Entry 7:
! Sc2NiRh2 (GGA-PBE, relaxed); values from VASP
! calculated total energy	-36.3	eV per formula unit
! SG	P4/mbm (127)
&SYSTEM
  ibrav = 0, nat = 10, ntyp = 3
/
ATOMIC_SPECIES
Sc 44.96 Sc.upf
Ni 58.69 Ni.upf
Rh 102.91 Rh.upf
CELL_PARAMETERS angstrom
-4.111 5.144 1.053
-1.247 0.342 -6.542
-2.898 -2.404 0.427
ATOMIC_POSITIONS crystal
Sc 0.174 0.674 0.500
Sc 0.674 0.826 0.500
Sc 0.826 0.326 0.500
Sc 0.326 0.174 0.500
Ni 0.000 0.000 0.000
Ni 0.500 0.500 0.000
Rh 0.361 0.861 0.000
Rh 0.861 0.639 0.000
Rh 0.639 0.139 0.000
Rh 0.139 0.361 0.000

***

Entry 8:
! Sc5Ni2Rh (GGA-PBE, relaxed); values from VASP
! calculated total energy	-54.8	eV per formula unit
! SG	I4/mcm (140)
&SYSTEM
  ibrav = 0, nat = 16, ntyp = 3
/
ATOMIC_SPECIES
Sc 44.96 Sc.upf
Ni 58.69 Ni.upf
Rh 102.91 Rh.upf
CELL_PARAMETERS angstrom
-6.185 -0.994 2.081
-2.304 2.388 -5.706
4.355 -7.019 -0.879
ATOMIC_POSITIONS crystal
Sc 0.526 0.681 0.707
Sc 0.819 0.974 0.293
Sc 0.000 0.000 0.000
Sc 0.500 0.500 0.000
Sc 0.181 0.026 0.707
Sc 0.681 0.181 0.707
Sc 0.026 0.526 0.707
Sc 0.319 0.819 0.293
Sc 0.974 0.474 0.293
Sc 0.474 0.319 0.293
Ni 0.127 0.373 0.000
Ni 0.627 0.127 0.000
Ni 0.373 0.873 0.000
Ni 0.873 0.627 0.000
Rh 0.750 0.750 0.500
Rh 0.250 0.250 0.500

***

Entry 9:
! ScNiRh (GGA-PBE, relaxed); values from VASP
! calculated total energy	-21.4	eV per formula unit
! SG	Imma (74)
&SYSTEM
  ibrav = 0, nat = 6, ntyp = 3
/
ATOMIC_SPECIES
Sc 44.96 Sc.upf
Rh 102.91 Rh.upf
Ni 58.69 Ni.upf
CELL_PARAMETERS angstrom
-3.961 -2.706 -1.591
1.809 -1.058 4.599
-4.622 0.523 1.977
ATOMIC_POSITIONS crystal
Sc 0.750 0.870 0.380
Sc 0.250 0.130 0.620
Rh 0.500 0.000 0.000
Rh 0.000 0.500 0.000
Ni 0.000 0.500 0.500
Ni 0.500 0.500 0.000

***

Entry 10:
! Sc2Ni15Rh2 (GGA-PBE, relaxed); values from VASP
! calculated total energy	-117.2	eV per formula unit
! SG	R-3m (166)
&SYSTEM
  ibrav = 0, nat = 19, ntyp = 3
/
ATOMIC_SPECIES
Sc 44.96 Sc.upf
Ni 58.69 Ni.upf
Rh 102.91 Rh.upf
CELL_PARAMETERS angstrom
6.242 -0.015 -0.013
0.795 6.192 -0.013
0.795 0.698 6.152
ATOMIC_POSITIONS crystal
Sc 0.340 0.340 0.340
Sc 0.660 0.660 0.660
Ni 0.500 0.000 0.000
Ni 0.000 0.000 0.500
Ni 0.000 0.500 0.000
Ni 0.000 0.696 0.304
Ni 0.696 0.304 0.000
Ni 0.304 0.000 0.696
Ni 0.304 0.696 0.000
Ni 0.696 0.000 0.304
Ni 0.000 0.304 0.696
Ni 0.162 0.651 0.651
Ni 0.651 0.651 0.162
Ni 0.651 0.162 0.651
Ni 0.838 0.349 0.349
Ni 0.349 0.349 0.838
Ni 0.349 0.838 0.349
Rh 0.105 0.105 0.105
Rh 0.895 0.895 0.895

***

Entry 11:
! Sc2NiRh (GGA-PBE, relaxed); values from VASP
! calculated total energy	-27.3	eV per formula unit
! SG	R-3m (166)
&SYSTEM
  ibrav = 0, nat = 4, ntyp = 3
/
ATOMIC_SPECIES
Ni 58.69 Ni.upf
Rh 102.91 Rh.upf
Sc 44.96 Sc.upf
CELL_PARAMETERS angstrom
-3.107 -6.305 -3.524
-0.017 -7.216 -3.123
-2.133 -7.538 -0.683
ATOMIC_POSITIONS crystal
Ni 0.250 0.250 0.250
Rh 0.750 0.750 0.750
Sc 0.997 0.997 0.997
Sc 0.503 0.503 0.503

***

Entry 12:
! Sc5Ni4Rh (GGA-PBE, relaxed); values from VASP
! calculated total energy	-68.1	eV per formula unit
! SG	P4/mmm (123)
&SYSTEM
  ibrav = 0, nat = 10, ntyp = 3
/
ATOMIC_SPECIES
Sc 44.96 Sc.upf
Ni 58.69 Ni.upf
Rh 102.91 Rh.upf
CELL_PARAMETERS angstrom
-0.759 -2.390 1.893
2.991 -0.961 -0.014
3.065 9.352 13.034
ATOMIC_POSITIONS crystal
Sc 0.500 0.500 0.103
Sc 0.500 0.500 0.302
Sc 0.500 0.500 0.500
Sc 0.500 0.500 0.698
Sc 0.500 0.500 0.897
Ni 0.000 0.000 0.203
Ni 0.000 0.000 0.401
Ni 0.000 0.000 0.599
Ni 0.000 0.000 0.797
Rh 0.000 0.000 0.000

***

Calculated density, record by record: 6.54; 7.64; 5.25; 4.65; 7.63; 8.70; 6.98; 4.94; 7.51; 8.21; 5.99; 5.79 g/cm3